# CrAsO2 GGA+U relaxed
# Crystal system: trigonal
# Spin magnetization (μB/atom): 0.754
# Uncorrected energy (eV per atom): -6.87
data_CrAsO2
_cell_length_a 2.9976
_cell_length_b 2.9976
_cell_length_c 18.8697
_cell_angle_alpha 90.00
_cell_angle_beta 90.00
_cell_angle_gamma 120.00
_space_group_name_H-M_alt 'R -3 m'
_space_group_IT_number 166
_space_group_name_Hall '-R 3 2"'
loop_
_atom_site_label
_atom_site_type_symbol
_atom_site_fract_x
_atom_site_fract_y
_atom_site_fract_z
Cr1 Cr 0.0000 0.0000 0.0000
As1 As 0.0000 0.0000 0.5000
O1 O 0.0000 0.0000 0.3877